# 1
Computed, not measured: a relaxed YCo2As crystal at the PBE level of DFT.

Values from the calculation:
crystal system: monoclinic
E_form: -42 kJ/mol of atoms
magnetic moment: 0.000 μB/cell
E: -6.763 eV/atom

a b c (Å): 3.999 3.999 5.333
angles (deg): 67.86 67.86 60.00
Sites, in units of the cell vectors:
As 0.250 0.250 0.250
Co 0.948 0.948 0.155
Co 0.552 0.552 0.345
Y 0.750 0.750 0.750

=====

# 2
Computed, not measured: a relaxed YSb2HBr crystal at the PBE level of DFT.

Values from the calculation:
crystal system: tetragonal
magnetic moment: 0.000 μB/cell
E: -3.916 eV/atom

a b c (Å): 6.131 3.846 6.131
angles (deg): 90.00 90.00 90.00
Sites, in units of the cell vectors:
Y 0.000 0.000 0.000
Sb 0.000 0.000 0.500
Sb 0.500 0.000 0.000
Br 0.500 0.500 0.500
H 0.000 0.500 0.000

=====

# 3
Computed, not measured: a relaxed Tc3SbP crystal at the PBE level of DFT.

Values from the calculation:
distance to the lowest polymorph of the same formula: 8.676 eV/f.u.
crystal system: cubic
magnetic moment: 2.987 μB/cell
E_form (uncorrected): 49.8 kcal/mol of atoms
E: -5.967 eV/atom

a b c (Å): 4.855 4.855 4.855
angles (deg): 90.00 90.00 90.00
Last column: magnetic moment on the atom in μB.
Sites, in units of the cell vectors:
Sb 0.000 0.000 0.000  -0.05
Tc 0.000 0.500 0.000  0.93
Tc 0.000 0.000 0.500  1.08
Tc 0.500 0.000 0.000  0.94
P 0.500 0.500 0.500  -0.15

=====

# 4
Computed, not measured: a relaxed Cr2MoRu crystal at the PBE level of DFT.

Values from the calculation:
crystal system: orthorhombic
E_form: 20 kJ/mol of atoms
magnetic moment: 0.097 μB/cell
E: -9.628 eV/atom

a b c (Å): 2.629 2.629 8.306
angles (deg): 90.00 90.00 109.73
Last column: magnetic moment on the atom in μB.
Sites, in units of the cell vectors:
Cr 0.000 0.000 0.996  0.02
Cr 0.000 0.000 0.504  0.02
Mo 0.500 0.500 0.250  0.00
Ru 0.500 0.500 0.750  0.06

=====

# 5
Computed, not measured: a relaxed CoSnB crystal at the PBE level of DFT.

Values from the calculation:
crystal system: monoclinic
E_form: 1 kJ/mol of atoms
magnetic moment: 0.000 μB/cell
E: -5.919 eV/atom

a b c (Å): 5.259 6.226 6.226
angles (deg): 59.62 73.86 73.87
Sites, in units of the cell vectors:
Sn 0.223 0.672 0.921
Sn 0.777 0.828 0.579
Sn 0.777 0.328 0.079
Sn 0.223 0.172 0.421
Co 0.177 0.424 0.674
Co 0.177 0.924 0.174
Co 0.823 0.576 0.326
Co 0.823 0.076 0.826
B 0.576 0.361 0.611
B 0.576 0.861 0.111
B 0.424 0.639 0.389
B 0.424 0.139 0.889

=====

# 6
Computed, not measured: a relaxed Na3Cd2In3 crystal at the PBE level of DFT.

Values from the calculation:
distance to the lowest polymorph of the same formula: 0.157 eV/f.u.
crystal system: orthorhombic
E_form: -8 kJ/mol of atoms
magnetic moment: 0.000 μB/cell
E: -1.833 eV/atom

a b c (Å): 5.066 6.109 15.451
angles (deg): 90.00 90.00 114.50
Sites, in units of the cell vectors:
Na 0.921 0.841 0.400
Na 0.079 0.159 0.900
Na 0.921 0.841 0.100
Na 0.079 0.159 0.600
Na 0.705 0.409 0.250
Na 0.295 0.591 0.750
Cd 0.774 0.547 0.892
Cd 0.226 0.453 0.392
Cd 0.774 0.547 0.608
Cd 0.226 0.453 0.108
In 0.602 0.204 0.438
In 0.398 0.796 0.938
In 0.602 0.204 0.062
In 0.398 0.796 0.562
In 0.417 0.834 0.250
In 0.583 0.166 0.750